The following is a PBE-GGA calculation of a relaxed Dy2Tc2O7 crystal, from the Open Quantum Materials Database.

Space group = Fd-3m, No. 227
Total DFT energy (no corrections) = -90.754 eV per formula unit

Lattice parameters (Å, degrees): 7.2343 7.2343 7.2343 60.00 60.00 60.00
Closest atoms and distances in Å follow each position.
Positions (direct):
Dy 0.0000 0.0000 0.0000  8 O 2.22-2.45
Dy 0.0000 0.0000 0.5000  8 O 2.22-2.45
Dy 0.0000 0.5000 0.0000  8 O 2.22-2.45
Dy 0.5000 0.0000 0.0000  8 O 2.22-2.45
Tc 0.0000 0.5000 0.5000  6 O 2.02
Tc 0.5000 0.0000 0.5000  6 O 2.02
Tc 0.5000 0.5000 0.0000  6 O 2.02
Tc 0.5000 0.5000 0.5000  6 O 2.02
O 0.1250 0.1250 0.1250  4 Dy 2.22
O 0.1610 0.1610 0.5890  2 Tc 2.02
O 0.1610 0.5890 0.1610  2 Tc 2.02
O 0.1610 0.5890 0.5890  2 Tc 2.02
O 0.4110 0.4110 0.8390  2 Tc 2.02
O 0.4110 0.8390 0.4110  2 Tc 2.02
O 0.4110 0.8390 0.8390  2 Tc 2.02
O 0.5890 0.1610 0.1610  2 Tc 2.02
O 0.5890 0.1610 0.5890  2 Tc 2.02
O 0.5890 0.5890 0.1610  2 Tc 2.02
O 0.8390 0.4110 0.4110  2 Tc 2.02
O 0.8390 0.4110 0.8390  2 Tc 2.02
O 0.8390 0.8390 0.4110  2 Tc 2.02
O 0.8750 0.8750 0.8750  4 Dy 2.22